Record 1
Material: HfNbMoRh
Method: DFT, PBE
State: optimized geometry

Lattice parameters (Å, degrees): 6.4907 6.4907 6.4907 90.00 90.00 90.00
Space group F-43m (No. 216)
One atom of each set of equivalent atoms:
Hf (0.0000, 0.0000, 0.0000) [4 per cell]
Nb (0.0000, 0.0000, 0.5000) [4 per cell]
Mo (0.2500, 0.2500, 0.7500) [4 per cell]
Rh (0.2500, 0.2500, 0.2500) [4 per cell]

* M_tot: 0.0 μB/f.u.
* E_form: -0.41 eV/atom
* DOS at the Fermi energy: 2.26 states/eV/f.u.
* total energy: -159.441 eV per cell


Record 2
Material: HfNbMoRu
Method: DFT, PBE
State: optimized geometry

Lattice parameters (Å, degrees): 3.2346 3.2346 6.5257 90.00 90.00 90.00
Space group P4mm (No. 99)
One atom of each set of equivalent atoms:
Hf (0.0000, 0.0000, 0.0000) [1 per cell]
Nb (0.0000, 0.0000, 0.4986) [1 per cell]
Mo (0.5000, 0.5000, 0.7381) [1 per cell]
Ru (0.5000, 0.5000, 0.2520) [1 per cell]

* M_tot: 0.0 μB/f.u.
* E_form: -0.34 eV/atom
* DOS at the Fermi energy: 3.68 states/eV/f.u.
* total energy: -41.509 eV per cell


Record 3
Material: HfNbMoRu
Method: DFT, PBE
State: optimized geometry

Lattice parameters (Å, degrees): 6.4729 6.4729 6.4729 90.00 90.00 90.00
Space group F-43m (No. 216)
One atom of each set of equivalent atoms:
Hf (0.0000, 0.0000, 0.0000) [4 per cell]
Nb (0.0000, 0.0000, 0.5000) [4 per cell]
Mo (0.2500, 0.2500, 0.2500) [4 per cell]
Ru (0.2500, 0.2500, 0.7500) [4 per cell]

* M_tot: 0.0 μB/f.u.
* E_form: -0.34 eV/atom
* DOS at the Fermi energy: 3.11 states/eV/f.u.
* total energy: -166.018 eV per cell


Record 4
Material: HfNbSb2Mo
Method: DFT, PBE
State: optimized geometry

Lattice parameters (Å, degrees): 5.3551 5.3551 4.6898 90.00 90.00 90.00
Space group P4/mmm (No. 123)
One atom of each set of equivalent atoms:
Hf (0.0000, 0.0000, 0.0000) [1 per cell]
Nb (0.5000, 0.5000, 0.5000) [1 per cell]
Sb (0.0000, 0.5000, 0.0000) [2 per cell]
Mo (0.0000, 0.0000, 0.5000) [1 per cell]

* M_tot: 0.6 μB/f.u.
* formation energy (no corrections): 1503 meV per atom
* DOS at the Fermi energy: 7.28 states/eV/f.u.
* total energy: -31.585 eV per cell


Record 5
Material: Hf2TaNbMo
Method: DFT, PBE
State: optimized geometry

Lattice parameters (Å, degrees): 4.9386 4.9386 4.7233 90.00 90.00 90.00
Space group P4/mmm (No. 123)
One atom of each set of equivalent atoms:
Hf (0.0000, 0.5000, 0.0000) [2 per cell]
Ta (0.0000, 0.0000, 0.5000) [1 per cell]
Nb (0.5000, 0.5000, 0.5000) [1 per cell]
Mo (0.5000, 0.5000, 0.0000) [1 per cell]

* M_tot: 0.0 μB/f.u.
* E_form: 1.19 eV/atom
* DOS at the Fermi energy: 5.72 states/eV/f.u.
* total energy: -46.720 eV per cell


Record 6
Material: HfZrNb2Mo
Method: DFT, PBE
State: optimized geometry

Lattice parameters (Å, degrees): 4.9017 4.9017 4.7728 90.00 90.00 90.00
Space group P4/mmm (No. 123)
One atom of each set of equivalent atoms:
Hf (0.0000, 0.0000, 0.0000) [1 per cell]
Zr (0.5000, 0.5000, 0.5000) [1 per cell]
Nb (0.0000, 0.5000, 0.5000) [2 per cell]
Mo (0.5000, 0.5000, 0.0000) [1 per cell]

* M_tot: 0.0 μB/f.u.
* E_form: 1.51 eV/atom
* DOS at the Fermi energy: 3.71 states/eV/f.u.
* total energy: -41.923 eV per cell


Record 7
Material: NdHf2Mo
Method: DFT, PBE
State: optimized geometry

Lattice parameters (Å, degrees): 3.2398 3.2398 31.6476 90.00 90.00 120.00
Space group R-3m (No. 166, hexagonal axes)
One atom of each set of equivalent atoms:
Nd (0.0000, 0.0000, 0.0000) [3 per cell]
Hf (0.0000, 0.0000, 0.1023) [6 per cell]
Mo (0.0000, 0.0000, 0.5000) [3 per cell]

* M_tot: 0.0 μB/f.u.
* E_form: 0.35 eV/atom
* DOS at the Fermi energy: 5.24 states/eV/f.u.
* distance to the lowest polymorph of the same formula: 292 meV/atom
* total energy: -102.280 eV per cell


Record 8
Material: NdHf2Mo
Method: DFT, PBE
State: optimized geometry

Lattice parameters (Å, degrees): 3.3878 3.3878 8.1612 90.00 90.00 90.00
Space group P4/mmm (No. 123)
One atom of each set of equivalent atoms:
Nd (0.0000, 0.0000, 0.0000) [1 per cell]
Hf (0.5000, 0.5000, 0.3124) [2 per cell]
Mo (0.0000, 0.0000, 0.5000) [1 per cell]

* M_tot: 0.0 μB/f.u.
* E_form: 0.06 eV/atom
* DOS at the Fermi energy: 5.00 states/eV/f.u.
* distance to the lowest polymorph of the same formula: 0 meV/atom
* total energy: -35.260 eV per cell